# 1
Material: CaYBI2
Method: DFT, PBE-GGA
State: optimized geometry

a b c (Å): 6.0368 6.0368 4.7346
angles (deg): 90.00 90.00 90.00
Closest atoms and distances in Å follow each position.
Space group P4/mmm (No. 123)
Unique sites:
Ca: 0.0000 0.0000 0.0000 (multiplicity 1)  8 I 3.84, 4 B 4.27
Y: 0.5000 0.5000 0.5000 (multiplicity 1)  2 B 2.37
B: 0.5000 0.5000 0.0000 (multiplicity 1)  2 Y 2.37
I: 0.0000 0.5000 0.5000 (multiplicity 2)  2 Y 3.02

Values from the calculation:
Its mass density is 3.79 g/cm³. Its raw formation energy is 0.30 eV per formula unit. The value obtained for the total magnetization is 0.995 Bohr magnetons per cell.



# 2
Material: LiCa4Sn2
Method: DFT, PBE-GGA
State: optimized geometry

a b c (Å): 5.3612 5.3612 26.0919
angles (deg): 90.00 90.00 120.00
Closest atoms and distances in Å follow each position.
Space group R-3m (No. 166, hexagonal axes)
Unique sites:
Li: 0.0000 0.0000 0.0000 (multiplicity 3)  8 Ca 3.32-3.35
Ca: 0.0000 0.0000 0.1283 (multiplicity 6)  4 Sn 3.28-3.35, 1 Li 3.35
Ca: 0.0000 0.0000 0.3795 (multiplicity 6)  4 Sn 3.21-3.28, 3 Li 3.32
Sn: 0.0000 0.0000 0.2540 (multiplicity 6)  8 Ca 3.21-3.35

Values from the calculation:
Its mass density is 3.10 g/cm³. The value obtained for the total magnetization is 0.000 Bohr magnetons per cell. The value obtained for the formation energy from the elements is -52 kJ/mol of atoms.



Q: Among the records above, which one has the highest mass density?
A: CaYBI2